<i>
A plane-wave DFT calculation with PBE-GGA was carried out for a relaxed structure of RbBePdBr.

Computed properties:
Size of the total moment (μB per atom): 0.00
Crystal system: monoclinic
D(E_F) (states/eV/f.u.): 0.7

a b c (Å): 4.7975 15.6782 3.3703
angles (deg): 90.00 134.42 90.00
Space group C2 (No. 5)
Inequivalent atoms, fractional coordinates:
1 Rb 0.0000 0.0000 0.0000
2 Be 0.0000 0.2163 0.0000
3 Pd 0.0000 0.6724 0.0000
4 Br 0.0000 0.3556 0.0000

<ii>
A plane-wave DFT calculation with PBE-GGA was carried out for a relaxed structure of RbBePdBr.

Computed properties:
Size of the total moment (μB per atom): 0.00
Crystal system: monoclinic

a b c (Å): 13.1089 3.5206 5.9859
angles (deg): 90.00 117.11 90.00
Space group Cm (No. 8)
Inequivalent atoms, fractional coordinates:
1 Rb 0.0000 0.0000 0.0000
2 Be 0.3000 0.0000 0.1430
3 Pd 0.2138 0.5000 0.9144
4 Br 0.4674 0.0000 0.4693

Least stable: <ii>

<i>
A plane-wave DFT calculation with PBE-GGA was carried out for a relaxed structure of RbBePdBr.

Computed properties:
Size of the total moment (μB per atom): 0.00
Crystal system: monoclinic

a b c (Å): 13.2803 3.5294 5.2195
angles (deg): 90.00 90.15 90.00
Space group Cm (No. 8)
Inequivalent atoms, fractional coordinates:
1 Rb 0.0000 0.0000 0.0000
2 Be 0.2833 0.5000 0.4994
3 Pd 0.3827 0.0000 0.4991
4 Br 0.1214 0.5000 0.5009

<ii>
A plane-wave DFT calculation with PBE-GGA was carried out for a relaxed structure of RbBePdBr.

Computed properties:
Size of the total moment (μB per atom): 0.00
Crystal system: triclinic
D(E_F) (states/eV/f.u.): 0.3

a b c (Å): 3.6286 5.7043 5.7508
angles (deg): 105.30 90.24 90.06
Space group P1 (No. 1)
Inequivalent atoms, fractional coordinates:
1 Rb 0.0000 0.0000 0.0000
2 Be 0.5013 0.5576 0.2094
3 Pd 0.0028 0.5643 0.4264
4 Br 0.4990 0.4490 0.8105

Least stable: <ii>

<i>
A plane-wave DFT calculation with PBE-GGA was carried out for a relaxed structure of BePdSeBr2.

Computed properties:
Size of the total moment (μB per atom): 0.00
Crystal system: tetragonal
D(E_F) (states/eV/f.u.): 5.3

a b c (Å): 4.7175 4.7175 4.7581
angles (deg): 90.00 90.00 90.00
Space group P4/mmm (No. 123)
Inequivalent atoms, fractional coordinates:
1 Be 0.0000 0.0000 0.0000
2 Pd 0.5000 0.5000 0.5000
3 Se 0.0000 0.0000 0.5000
4 Br 0.0000 0.5000 0.0000

<ii>
A plane-wave DFT calculation with PBE-GGA was carried out for a relaxed structure of BePdSeBr2.

Computed properties:
Size of the total moment (μB per atom): 0.00
Crystal system: tetragonal
D(E_F) (states/eV/f.u.): 4.2

a b c (Å): 5.0566 5.0566 5.0415
angles (deg): 90.00 90.00 90.00
Space group P4/mmm (No. 123)
Inequivalent atoms, fractional coordinates:
1 Be 0.0000 0.0000 0.0000
2 Pd 0.5000 0.5000 0.5000
3 Se 0.5000 0.5000 0.0000
4 Br 0.0000 0.5000 0.5000

Least stable: <ii>

<i>
A plane-wave DFT calculation with PBE-GGA was carried out for a relaxed structure of BePtBr2.

Computed properties:
Size of the total moment (μB per atom): 0.00
Crystal system: tetragonal
D(E_F) (states/eV/f.u.): 1.7

a b c (Å): 3.1509 3.1509 7.3574
angles (deg): 90.00 90.00 90.00
Space group P4/mmm (No. 123)
Inequivalent atoms, fractional coordinates:
1 Be 0.0000 0.0000 0.0000
2 Pt 0.0000 0.0000 0.5000
3 Br 0.5000 0.5000 0.2115

<ii>
A plane-wave DFT calculation with PBE-GGA was carried out for a relaxed structure of BePtBr2.

Computed properties:
Size of the total moment (μB per atom): 0.00
Crystal system: trigonal
D(E_F) (states/eV/f.u.): 1.9

a b c (Å): 3.2967 3.2967 27.5352
angles (deg): 90.00 90.00 120.00
Space group R3m (No. 160, hexagonal axes)
Inequivalent atoms, fractional coordinates:
1 Be 0.0000 0.0000 0.0000
2 Pt 0.0000 0.0000 0.7262
3 Br 0.0000 0.0000 0.2834
4 Br 0.0000 0.0000 0.4652

Least stable: <i>

<i>
A plane-wave DFT calculation with PBE-GGA was carried out for a relaxed structure of BePtBr2.

Computed properties:
Size of the total moment (μB per atom): 0.00
Crystal system: monoclinic
D(E_F) (states/eV/f.u.): 0.8

a b c (Å): 6.7322 7.2577 4.9141
angles (deg): 90.00 133.09 90.00
Space group C2/m (No. 12)
Inequivalent atoms, fractional coordinates:
1 Be 0.0000 0.0000 0.0000
2 Pt 0.0000 0.5000 0.0000
3 Br 0.2500 0.2500 0.5000

<ii>
A plane-wave DFT calculation with PBE-GGA was carried out for a relaxed structure of BePtBr2.

Computed properties:
Size of the total moment (μB per atom): 0.00
Crystal system: orthorhombic

a b c (Å): 3.8824 6.8356 7.7295
angles (deg): 90.00 90.00 90.00
Space group Cmm2 (No. 35)
Inequivalent atoms, fractional coordinates:
1 Be 0.0000 0.0000 0.0000
2 Pt 0.0000 0.5000 0.1209
3 Br 0.0000 0.0000 0.3482
4 Br 0.0000 0.5000 0.8025

<iii>
A plane-wave DFT calculation with PBE-GGA was carried out for a relaxed structure of BePtBr2.

Computed properties:
Size of the total moment (μB per atom): 0.00
Crystal system: tetragonal
D(E_F) (states/eV/f.u.): 0.1

a b c (Å): 3.4251 3.4251 7.6508
angles (deg): 90.00 90.00 90.00
Space group P4mm (No. 99)
Inequivalent atoms, fractional coordinates:
1 Be 0.0000 0.0000 0.0000
2 Pt 0.5000 0.5000 0.9412
3 Br 0.0000 0.0000 0.7061
4 Br 0.5000 0.5000 0.2577

<iv>
A plane-wave DFT calculation with PBE-GGA was carried out for a relaxed structure of BePtBr2.

Computed properties:
Size of the total moment (μB per atom): 0.00
Crystal system: tetragonal
D(E_F) (states/eV/f.u.): 2.2

a b c (Å): 3.6250 3.6250 13.3906
angles (deg): 90.00 90.00 90.00
Space group I-4m2 (No. 119)
Inequivalent atoms, fractional coordinates:
1 Be 0.0000 0.0000 0.0000
2 Pt 0.0000 0.5000 0.2500
3 Br 0.0000 0.0000 0.5000
4 Br 0.0000 0.5000 0.7500

Least stable: <iv>

<i>
A plane-wave DFT calculation with PBE-GGA was carried out for a relaxed structure of BePtBr2.

Computed properties:
Size of the total moment (μB per atom): 0.00
Crystal system: tetragonal
D(E_F) (states/eV/f.u.): 2.5

a b c (Å): 5.8049 5.8049 10.1268
angles (deg): 90.00 90.00 90.00
Space group I-42d (No. 122)
Inequivalent atoms, fractional coordinates:
1 Be 0.0000 0.0000 0.0000
2 Pt 0.0000 0.0000 0.5000
3 Br 0.1931 0.2500 0.1250

<ii>
A plane-wave DFT calculation with PBE-GGA was carried out for a relaxed structure of BePtBr2.

Computed properties:
Size of the total moment (μB per atom): 0.00
Crystal system: cubic
D(E_F) (states/eV/f.u.): 1.9

a b c (Å): 6.6903 6.6903 6.6903
angles (deg): 90.00 90.00 90.00
Space group Fm-3m (No. 225)
Inequivalent atoms, fractional coordinates:
1 Be 0.0000 0.0000 0.0000
2 Pt 0.0000 0.0000 0.5000
3 Br 0.2500 0.2500 0.2500

Least stable: <ii>

<i>
A plane-wave DFT calculation with PBE-GGA was carried out for a relaxed structure of Be2PtBr.

Computed properties:
Size of the total moment (μB per atom): 0.00
Crystal system: tetragonal
D(E_F) (states/eV/f.u.): 0.9

a b c (Å): 3.2429 3.2429 12.5960
angles (deg): 90.00 90.00 90.00
Space group I-4m2 (No. 119)
Inequivalent atoms, fractional coordinates:
1 Be 0.0000 0.0000 0.0000
2 Be 0.0000 0.5000 0.2500
3 Pt 0.0000 0.0000 0.5000
4 Br 0.0000 0.5000 0.7500

<ii>
A plane-wave DFT calculation with PBE-GGA was carried out for a relaxed structure of Be2PtBr.

Computed properties:
Size of the total moment (μB per atom): 0.00
Crystal system: orthorhombic
D(E_F) (states/eV/f.u.): 0.9

a b c (Å): 3.0454 3.4794 6.0736
angles (deg): 90.00 90.00 90.00
Space group Pmmm (No. 47)
Inequivalent atoms, fractional coordinates:
1 Be 0.0000 0.0000 0.0000
2 Be 0.0000 0.5000 0.5000
3 Pt 0.5000 0.0000 0.5000
4 Br 0.5000 0.5000 0.0000

Least stable: <i>

<i>
A plane-wave DFT calculation with PBE-GGA was carried out for a relaxed structure of Be2PtBr.

Computed properties:
Size of the total moment (μB per atom): 0.00
Crystal system: orthorhombic
D(E_F) (states/eV/f.u.): 0.5

a b c (Å): 6.2363 6.2691 2.8783
angles (deg): 90.00 90.00 90.00
Space group Cmmm (No. 65)
Inequivalent atoms, fractional coordinates:
1 Be 0.2500 0.2500 0.0000
2 Pt 0.0000 0.0000 0.5000
3 Br 0.0000 0.5000 0.5000

<ii>
A plane-wave DFT calculation with PBE-GGA was carried out for a relaxed structure of Be2PtBr.

Computed properties:
Size of the total moment (μB per atom): 0.00
Crystal system: orthorhombic
D(E_F) (states/eV/f.u.): 0.9

a b c (Å): 2.6833 3.2993 7.8402
angles (deg): 90.00 90.00 90.00
Space group Pmmm (No. 47)
Inequivalent atoms, fractional coordinates:
1 Be 0.0000 0.0000 0.1410
2 Pt 0.5000 0.5000 0.0000
3 Br 0.5000 0.5000 0.5000

Least stable: <i>

<i>
A plane-wave DFT calculation with PBE-GGA was carried out for a relaxed structure of BePtBr3.

Computed properties:
Size of the total moment (μB per atom): 0.17
Crystal system: cubic
D(E_F) (states/eV/f.u.): 3.6

a b c (Å): 5.1553 5.1553 5.1553
angles (deg): 90.00 90.00 90.00
Space group Pm-3m (No. 221)
Inequivalent atoms, fractional coordinates:
1 Be 0.0000 0.0000 0.0000
2 Pt 0.5000 0.5000 0.5000
3 Br 0.0000 0.5000 0.5000

<ii>
A plane-wave DFT calculation with PBE-GGA was carried out for a relaxed structure of BePtBr3.

Computed properties:
Size of the total moment (μB per atom): 0.24
Crystal system: cubic
D(E_F) (states/eV/f.u.): 6.2

a b c (Å): 4.7884 4.7884 4.7884
angles (deg): 90.00 90.00 90.00
Space group Pm-3m (No. 221)
Inequivalent atoms, fractional coordinates:
1 Be 0.0000 0.0000 0.0000
2 Pt 0.5000 0.5000 0.5000
3 Br 0.0000 0.0000 0.5000

Least stable: <i>

<i>
A plane-wave DFT calculation with PBE-GGA was carried out for a relaxed structure of RbBe3Br.

Computed properties:
Size of the total moment (μB per atom): 0.00
Crystal system: cubic
D(E_F) (states/eV/f.u.): 3.9

a b c (Å): 5.1124 5.1124 5.1124
angles (deg): 90.00 90.00 90.00
Space group Pm-3m (No. 221)
Inequivalent atoms, fractional coordinates:
1 Rb 0.0000 0.0000 0.0000
2 Be 0.0000 0.5000 0.5000
3 Br 0.5000 0.5000 0.5000

<ii>
A plane-wave DFT calculation with PBE-GGA was carried out for a relaxed structure of RbBe3Br.

Computed properties:
Size of the total moment (μB per atom): 0.00
Crystal system: cubic
D(E_F) (states/eV/f.u.): 0.0

a b c (Å): 6.5197 6.5197 6.5197
angles (deg): 90.00 90.00 90.00
Space group Pm-3m (No. 221)
Inequivalent atoms, fractional coordinates:
1 Rb 0.0000 0.0000 0.0000
2 Be 0.0000 0.0000 0.5000
3 Br 0.5000 0.5000 0.5000

Least stable: <ii>

<i>
A plane-wave DFT calculation with PBE-GGA was carried out for a relaxed structure of RbBeSe2Br.

Computed properties:
Size of the total moment (μB per atom): 0.80
Crystal system: tetragonal
D(E_F) (states/eV/f.u.): 5.3

a b c (Å): 6.6592 6.6592 6.4125
angles (deg): 90.00 90.00 90.00
Space group P4/mmm (No. 123)
Inequivalent atoms, fractional coordinates:
1 Rb 0.0000 0.0000 0.0000
2 Be 0.5000 0.5000 0.5000
3 Se 0.0000 0.5000 0.0000
4 Br 0.0000 0.0000 0.5000

<ii>
A plane-wave DFT calculation with PBE-GGA was carried out for a relaxed structure of RbBeSe2Br.

Computed properties:
Size of the total moment (μB per atom): 0.00
Crystal system: tetragonal
D(E_F) (states/eV/f.u.): 4.3

a b c (Å): 4.5391 4.5391 6.7716
angles (deg): 90.00 90.00 90.00
Space group P4/mmm (No. 123)
Inequivalent atoms, fractional coordinates:
1 Rb 0.0000 0.0000 0.0000
2 Be 0.5000 0.5000 0.5000
3 Se 0.0000 0.5000 0.5000
4 Br 0.5000 0.5000 0.0000

Least stable: <i>

<i>
A plane-wave DFT calculation with PBE-GGA was carried out for a relaxed structure of RbTaBeBr.

Computed properties:
Size of the total moment (μB per atom): 0.00
Crystal system: monoclinic
D(E_F) (states/eV/f.u.): 2.1

a b c (Å): 4.8584 4.8595 8.7001
angles (deg): 90.00 106.05 90.00
Space group Cm (No. 8)
Inequivalent atoms, fractional coordinates:
1 Rb 0.0000 0.0000 0.0000
2 Ta 0.2869 0.5000 0.5808
3 Be 0.3232 0.0000 0.6540
4 Br 0.1368 0.5000 0.2766

<ii>
A plane-wave DFT calculation with PBE-GGA was carried out for a relaxed structure of RbTaBeBr.

Computed properties:
Size of the total moment (μB per atom): 0.00
Crystal system: monoclinic
D(E_F) (states/eV/f.u.): 2.0

a b c (Å): 14.3136 3.2169 4.9827
angles (deg): 90.00 93.44 90.00
Space group Cm (No. 8)
Inequivalent atoms, fractional coordinates:
1 Rb 0.0000 0.0000 0.0000
2 Ta 0.2691 0.5000 0.4601
3 Be 0.3862 0.0000 0.4809
4 Br 0.2105 0.5000 0.9500

Least stable: <ii>